Here is a relaxed structure of Th3TcB7 from Alexandria via LeMat-Bulk. Energies are from PBE.

Output
energy relative to the elements: -469 meV/atom
magnetization: 0.0 Bohr magnetons per cell

Cell: 3.696 16.354 9.669 Å, 90.00 90.00 90.00°
Space group Cmcm (No. 63)
Asymmetric unit:
Th 0.000 0.105 0.060
Th 0.000 0.246 0.750
Tc 0.000 0.054 0.750
B 0.000 0.276 0.034
B 0.000 0.368 0.155
B 0.000 0.463 0.750
B 0.000 0.476 0.101